The following is a DFT calculation (GGA-PBEsol) of a relaxed LaZn2Os crystal.

The structure in CIF format:
```
data_LaZn2Os
_chemical_formula_sum 'La1 Zn2 Os1'
_space_group_name_H-M_alt 'P 1'
_space_group_IT_number 1
_cell_length_a 5.002
_cell_length_b 5.002
_cell_length_c 5.002
_cell_angle_alpha 130.12
_cell_angle_beta 130.12
_cell_angle_gamma 73.22
loop_
_space_group_symop_operation_xyz
'x,y,z'
loop_
_atom_site_label
_atom_site_fract_x
_atom_site_fract_y
_atom_site_fract_z
La1 0.000 0.000 0.000
Zn1 0.250 0.750 0.500
Zn2 0.750 0.250 0.500
Os1 0.500 0.500 0.000
```

ΔE_f   0.05 eV per atom
Space-group type   I4/mmm (139)
E_tot   -5.13 eV per atom